Below is a PBEsol-optimized structure of TlSbOs2, with properties calculated at the meta-GGA SCAN level.

```
TlSbOs2
1.0
2.893 0.000 0.000
-1.447 3.762 0.092
0.000 -0.818 7.662
Os Tl Sb
2 1 1
direct
0.256 0.512 0.789
0.995 0.991 0.943
0.723 0.447 0.211
0.525 0.050 0.556
```

Energy = -250.73 eV for the cell shown
Space group = Cm

Below is a PBEsol-optimized structure of In4Pb, with properties calculated at the meta-GGA SCAN level.

```
In4Pb
1.0
-0.779 3.941 -2.523
-5.442 0.608 -1.828
-1.585 4.565 3.159
In Pb
4 1
direct
0.402 0.795 0.401
0.197 0.401 0.205
0.598 0.205 0.599
0.803 0.599 0.795
0.000 0.000 0.000
```

Formation energy = 0.4 eV per formula unit
Energy = -208.97 eV for the cell shown
Offset from the most stable computed form = 6 meV per atom
Space group = I4/m

Below is a PBEsol-optimized structure of ReSi2Ni, with properties calculated at the meta-GGA SCAN level.

```
ReSi2Ni
1.0
-1.604 0.491 -2.034
-0.816 -3.936 1.402
-2.750 2.735 2.829
Si Re Ni
2 1 1
direct
0.742 0.485 0.743
0.258 0.515 0.257
0.500 0.000 0.000
0.000 0.000 0.500
```

Energy = -107.73 eV for the cell shown
Space group = C2/m

Below is a PBEsol-optimized structure of LiTe2RhI, with properties calculated at the meta-GGA SCAN level.

```
LiTe2RhI
1.0
5.127 0.000 0.000
0.000 5.127 0.000
0.000 0.000 5.679
Li Rh I Te
1 1 1 2
direct
0.500 0.500 0.500
0.000 0.000 0.000
0.000 0.000 0.500
0.000 0.500 0.000
0.500 0.000 0.000
```

Energy = -147.74 eV for the cell shown
Space group = P4/mmm

Below is a PBEsol-optimized structure of InTe2NF, with properties calculated at the meta-GGA SCAN level.

```
InTe2NF
1.0
4.741 0.000 0.000
0.000 4.741 0.000
0.000 0.000 5.009
F Te N In
1 2 1 1
direct
0.000 0.000 0.000
0.000 0.500 0.000
0.500 0.000 0.000
0.000 0.000 0.500
0.500 0.500 0.500
```

Energy = -117.34 eV for the cell shown
Space group = P4/mmm

Below is a PBEsol-optimized structure of LiZrNi6, with properties calculated at the meta-GGA SCAN level.

```
LiZrNi6
1.0
6.219 0.007 0.000
-2.158 5.832 0.000
0.000 0.000 10.195
Ni Zr Li
24 4 4
direct
0.869 0.611 0.882
0.869 0.611 0.118
0.611 0.869 0.118
0.389 0.131 0.118
0.131 0.389 0.882
0.000 0.000 0.000
0.747 0.253 0.241
0.500 0.500 0.500
0.389 0.131 0.882
0.862 0.618 0.369
0.382 0.138 0.369
0.618 0.862 0.631
0.747 0.253 0.759
0.000 0.000 0.500
0.253 0.747 0.241
0.862 0.618 0.631
0.500 0.500 0.000
0.382 0.138 0.631
0.138 0.382 0.369
0.253 0.747 0.759
0.131 0.389 0.118
0.138 0.382 0.631
0.611 0.869 0.882
0.618 0.862 0.369
0.000 0.000 0.756
0.756 0.244 0.500
0.000 0.000 0.244
0.244 0.756 0.500
0.500 0.500 0.757
0.500 0.500 0.243
0.759 0.241 0.000
0.241 0.759 0.000
```

Formation energy = -1.3 eV per formula unit
Energy = -525.72 eV for the cell shown
Space group = Cmmm

Below is a PBEsol-optimized structure of CuAsN3, with properties calculated at the meta-GGA SCAN level.

```
CuAsN3
1.0
-0.059 -3.710 0.115
2.337 -0.127 -2.881
2.883 0.027 2.338
As N Cu
1 3 1
direct
0.000 0.000 0.000
0.000 0.500 0.000
0.000 0.000 0.500
0.500 0.000 0.000
0.500 0.500 0.500
```

Energy = -54.77 eV for the cell shown
Space group = Pm-3m

Below is a PBEsol-optimized structure of Sr2YRuW, with properties calculated at the meta-GGA SCAN level.

```
Sr2YRuW
1.0
5.218 0.000 0.000
0.000 5.531 0.000
0.000 0.000 5.531
Ru Sr W Y
1 2 1 1
direct
0.500 0.500 0.500
0.000 0.000 0.500
0.000 0.500 0.000
0.000 0.000 0.000
0.500 0.000 0.000
```

Formation energy = 8.1 eV per formula unit
Energy = -168.80 eV for the cell shown
Space group = P4/mmm

Below is a PBEsol-optimized structure of KLaMnBr2, with properties calculated at the meta-GGA SCAN level.

```
KLaMnBr2
1.0
5.687 0.000 0.000
0.000 5.687 0.000
0.000 0.000 8.189
K Br La Mn
1 2 1 1
direct
0.000 0.000 0.500
0.500 0.000 0.000
0.000 0.500 0.000
0.000 0.000 0.000
0.500 0.500 0.500
```

Energy = -110.79 eV for the cell shown
Space group = P4/mmm

Below is a PBEsol-optimized structure of BaSrP, with properties calculated at the meta-GGA SCAN level.

```
BaSrP
1.0
-3.380 -2.596 -1.380
2.975 -1.578 2.955
-4.361 2.605 5.782
Sr P Ba
1 1 1
direct
0.667 0.333 0.458
0.333 0.667 0.658
0.000 0.000 0.884
```

Formation energy = -2.9 eV per formula unit
Energy = -75.15 eV for the cell shown
Offset from the most stable computed form = 0 meV per atom
Space group = P3m1

Below is a PBEsol-optimized structure of Re4SbW, with properties calculated at the meta-GGA SCAN level.

```
Re4SbW
1.0
-3.854 -2.157 2.695
-1.472 -4.853 -1.024
1.010 -3.779 3.387
Re W Sb
4 1 1
direct
0.625 0.126 0.625
0.625 0.625 0.126
0.126 0.625 0.625
0.625 0.625 0.625
0.000 0.000 0.000
0.250 0.250 0.250
```

Energy = -387.12 eV for the cell shown
Space group = F-43m

Below is a PBEsol-optimized structure of CaCr2Se, with properties calculated at the meta-GGA SCAN level.

```
CaCr2Se
1.0
-2.651 -1.828 -1.136
1.105 -2.700 1.765
-3.248 1.765 4.736
Cr Se Ca
2 1 1
direct
0.000 0.000 0.837
0.000 0.000 0.163
0.500 0.500 0.000
0.500 0.500 0.500
```

Energy = -64.49 eV for the cell shown
Space group = P4/mmm

Below is a PBEsol-optimized structure of KAg2H, with properties calculated at the meta-GGA SCAN level.

```
KAg2H
1.0
4.848 0.000 0.000
2.424 4.199 0.000
2.424 1.400 3.958
Ag H K
2 1 1
direct
0.250 0.250 0.250
0.750 0.750 0.750
0.000 0.000 0.000
0.500 0.500 0.500
```

Energy = -70.93 eV for the cell shown
Space group = Fm-3m

Below is a PBEsol-optimized structure of NaBi2Au2, with properties calculated at the meta-GGA SCAN level.

```
NaBi2Au2
1.0
3.971 0.000 0.000
0.000 7.738 0.000
0.000 0.000 7.738
Au Bi Na
4 4 2
direct
0.000 0.129 0.371
0.000 0.871 0.629
0.000 0.629 0.129
0.000 0.371 0.871
0.500 0.325 0.175
0.500 0.675 0.825
0.500 0.825 0.325
0.500 0.175 0.675
0.000 0.500 0.500
0.000 0.000 0.000
```

Formation energy = -0.8 eV per formula unit
Energy = -600.98 eV for the cell shown
Offset from the most stable computed form = 0 meV per atom
Space group = P4/mbm

Below is a PBEsol-optimized structure of BP3Rh, with properties calculated at the meta-GGA SCAN level.

```
BP3Rh
1.0
3.973 0.000 0.000
0.000 3.973 0.000
0.000 0.000 3.973
Rh P B
1 3 1
direct
0.500 0.500 0.500
0.000 0.500 0.000
0.500 0.000 0.000
0.000 0.000 0.500
0.000 0.000 0.000
```

Formation energy = 4.0 eV per formula unit
Energy = -68.42 eV for the cell shown
Space group = Pm-3m

Below is a PBEsol-optimized structure of Sc5Tl, with properties calculated at the meta-GGA SCAN level.

```
Sc5Tl
1.0
-0.333 3.273 -0.054
-0.178 -0.073 -3.285
-12.721 -1.283 0.716
Sc Tl
5 1
direct
0.000 0.000 0.658
0.000 0.000 0.000
0.000 0.000 0.342
0.500 0.500 0.172
0.500 0.500 0.828
0.500 0.500 0.500
```

Formation energy = -0.8 eV per formula unit
Energy = -144.39 eV for the cell shown
Offset from the most stable computed form = 79 meV per atom
Space group = P4/mmm

Below is a PBEsol-optimized structure of Cs2VS5O, with properties calculated at the meta-GGA SCAN level.

```
Cs2VS5O
1.0
-4.955 5.510 0.154
-7.232 -6.411 -3.303
-1.333 -4.738 12.115
S Cs V O
20 8 4 4
direct
0.576 0.223 0.031
0.891 0.267 0.806
0.404 0.493 0.051
0.596 0.507 0.949
0.109 0.733 0.194
0.076 0.277 0.531
0.294 0.043 0.286
0.424 0.777 0.969
0.706 0.957 0.714
0.794 0.457 0.786
0.206 0.543 0.214
0.688 0.089 0.941
0.391 0.233 0.306
0.188 0.411 0.441
0.924 0.723 0.469
0.609 0.767 0.694
0.096 0.993 0.449
0.812 0.589 0.559
0.904 0.007 0.551
0.312 0.911 0.059
0.739 0.973 0.231
0.761 0.473 0.269
0.261 0.027 0.769
0.239 0.527 0.731
0.100 0.236 0.073
0.600 0.264 0.573
0.400 0.736 0.427
0.900 0.764 0.927
0.634 0.304 0.875
0.366 0.696 0.125
0.134 0.196 0.375
0.866 0.804 0.625
0.047 0.781 0.715
0.453 0.281 0.785
0.547 0.719 0.215
0.953 0.219 0.285
```

Energy = -634.09 eV for the cell shown
Space group = P2_1/c

Below is a PBEsol-optimized structure of MgZrAu2, with properties calculated at the meta-GGA SCAN level.

```
MgZrAu2
1.0
-1.777 -0.514 2.487
1.813 -4.486 0.368
3.583 1.687 2.909
Au Mg Zr
2 1 1
direct
0.000 0.500 0.654
0.000 0.000 0.089
0.500 0.000 0.607
0.500 0.500 0.150
```

Formation energy = -2.9 eV per formula unit
Energy = -176.91 eV for the cell shown
Space group = Pmm2

Below is a PBEsol-optimized structure of UInPt, with properties calculated at the meta-GGA SCAN level.

```
UInPt
1.0
4.117 0.000 0.000
0.000 7.241 0.000
0.000 -3.620 6.271
Pt In U
3 3 3
direct
0.500 0.667 0.333
0.000 0.000 0.000
0.500 0.333 0.667
0.500 0.000 0.751
0.500 0.249 0.249
0.500 0.751 0.000
0.000 0.000 0.418
0.000 0.582 0.582
0.000 0.418 0.000
```

Formation energy = -1.5 eV per formula unit
Energy = -625.77 eV for the cell shown
Space group = P-62m

Below is a PBEsol-optimized structure of NiSbSe2, with properties calculated at the meta-GGA SCAN level.

```
NiSbSe2
1.0
3.672 0.000 0.000
-1.836 3.161 -0.230
0.000 -1.590 7.074
Sb Ni Se
1 1 2
direct
0.763 0.527 0.289
0.507 0.014 0.522
0.219 0.437 0.659
0.011 0.022 0.030
```

Energy = -94.06 eV for the cell shown
Space group = Cm

Below is a PBEsol-optimized structure of Al2SiHg, with properties calculated at the meta-GGA SCAN level.

```
Al2SiHg
1.0
2.987 0.000 0.118
0.000 3.151 0.000
-0.311 0.000 7.696
Hg Si Al
1 1 2
direct
0.500 0.500 0.000
0.000 0.500 0.500
0.501 0.000 0.705
0.499 0.000 0.295
```

Energy = -93.05 eV for the cell shown
Offset from the most stable computed form = 0 meV per atom
Space group = Pmmm

Below is a PBEsol-optimized structure of RbIrNF2, with properties calculated at the meta-GGA SCAN level.

```
RbIrNF2
1.0
3.673 0.000 0.000
0.000 4.528 0.000
0.000 0.000 4.528
F Rb Ir N
2 1 1 1
direct
0.000 0.500 0.000
0.000 0.000 0.500
0.500 0.500 0.500
0.000 0.000 0.000
0.500 0.000 0.000
```

Energy = -113.58 eV for the cell shown
Space group = P4/mmm

Below is a PBEsol-optimized structure of Zn2ReRh2, with properties calculated at the meta-GGA SCAN level.

```
Zn2ReRh2
1.0
3.305 0.000 0.000
0.000 3.305 0.000
-1.653 -1.653 6.642
Rh Re Zn
2 1 2
direct
0.403 0.403 0.806
0.597 0.597 0.194
0.000 0.000 0.000
0.250 0.750 0.500
0.750 0.250 0.500
```

Formation energy = 1.5 eV per formula unit
Energy = -164.14 eV for the cell shown
Space group = I4/mmm

Below is a PBEsol-optimized structure of LiLu2Ru, with properties calculated at the meta-GGA SCAN level.

```
LiLu2Ru
1.0
-4.023 -2.491 0.101
-0.114 -4.226 2.129
-2.351 -0.535 4.073
Ru Lu Li
1 2 1
direct
0.000 0.000 0.000
0.250 0.250 0.250
0.750 0.750 0.750
0.500 0.500 0.500
```

Formation energy = -1.7 eV per formula unit
Energy = -149.65 eV for the cell shown
Space group = Fm-3m

Below is a PBEsol-optimized structure of MgTa2W, with properties calculated at the meta-GGA SCAN level.

```
MgTa2W
1.0
-0.595 -2.050 -1.718
2.489 -2.931 2.635
-4.224 -0.490 3.445
W Mg Ta
1 1 2
direct
0.498 0.000 0.489
0.266 0.500 0.746
0.728 0.500 0.256
0.008 0.000 0.008
```

Formation energy = 0.9 eV per formula unit
Energy = -206.90 eV for the cell shown
Space group = Pm

Below is a PBEsol-optimized structure of MgIn2Ag, with properties calculated at the meta-GGA SCAN level.

```
MgIn2Ag
1.0
3.174 0.000 0.000
0.000 5.306 -0.056
0.000 -1.800 4.992
In Ag Mg
2 1 1
direct
0.000 0.500 0.000
0.000 0.000 0.500
0.500 0.500 0.500
0.500 0.000 0.000
```

Formation energy = -0.3 eV per formula unit
Energy = -103.41 eV for the cell shown
Space group = Cmmm